The following is a DFT calculation (PBE) of a relaxed NaPr2Zn crystal.

The spin magnetization is 0.1 μB/cell. As for the crystal system: cubic. The calculation puts the density of states at the Fermi level at 25.9 states/eV per cell. As for the energy above the lowest structure with this stoichiometry: 98 meV per atom.

It has space group Fm-3m (No. 225), with a = 7.715 Å, b = 7.715 Å, c = 7.715 Å, α = 90.00°, β = 90.00° and γ = 90.00°. Symmetry generates all atoms from Na at (0.000, 0.000, 0.000), Pr at (0.250, 0.250, 0.250) and Zn at (0.000, 0.000, 0.500).

The following is a DFT calculation (PBE) of a relaxed NbPd2PtRh crystal.

The spin magnetization is 0.0 μB/cell. As for the crystal system: monoclinic. The calculation puts the density of states at the Fermi level at 7.7 states/eV per cell. The raw total energy comes out at -7.001 eV per atom.

It has space group P2_1/m (No. 11), with a = 6.236 Å, b = 4.125 Å, c = 6.636 Å, α = 90.00°, β = 103.51° and γ = 90.00°. Symmetry generates all atoms from Nb at (0.143, 0.250, 0.239), Pd at (0.463, 0.250, 0.616), Pd at (0.466, 0.750, 0.875), Pt at (0.143, 0.250, 0.841) and Rh at (0.154, 0.750, 0.518).

The following is a DFT calculation (PBE) of a relaxed Ba2SnIr3O12 crystal.

The spin magnetization is 3.3 μB/cell. As for the crystal system: trigonal. The calculation puts the density of states at the Fermi level at 47.9 states/eV per cell. The raw total energy comes out at -6.527 eV per atom.

It has space group R-3m (No. 166, hexagonal axes), with a = 7.1922 Å, b = 7.1922 Å, c = 17.6904 Å, α = 90.00°, β = 90.00° and γ = 120.00°. Symmetry generates all atoms from Ba at (0.0000, 0.0000, 0.1244), Sn at (0.0000, 0.0000, 0.5000), Ir at (0.0000, 0.5000, 0.0000), O at (0.0348, 0.5174, 0.1113) and O at (0.0608, 0.5304, 0.3469).

The following is a DFT calculation (PBE) of a relaxed InCoIr2 crystal.

The spin magnetization is 2.6 μB/cell. As for the crystal system: tetragonal. The calculation puts the density of states at the Fermi level at 4.8 states/eV per cell. The raw total energy comes out at -6.791 eV per atom.

It has space group P4/mmm (No. 123), with a = 2.879 Å, b = 2.879 Å, c = 7.280 Å, α = 90.00°, β = 90.00° and γ = 90.00°. Symmetry generates all atoms from In at (0.000, 0.000, 0.000), Co at (0.000, 0.000, 0.500) and Ir at (0.500, 0.500, 0.279).

The following is a DFT calculation (PBE) of a relaxed SrNiAg2 crystal.

The spin magnetization is 0.0 μB/cell. As for the crystal system: tetragonal. The calculation puts the density of states at the Fermi level at 11.7 states/eV per cell. The raw total energy comes out at -3.099 eV per atom.

It has space group I-42d (No. 122), with a = 4.934 Å, b = 4.934 Å, c = 17.591 Å, α = 90.00°, β = 90.00° and γ = 90.00°. Symmetry generates all atoms from Sr at (0.000, 0.000, 0.000), Ni at (0.000, 0.000, 0.500) and Ag at (0.088, 0.250, 0.625).

The following is a DFT calculation (PBE) of a relaxed Tb2Ho5TmTh crystal.

The spin magnetization is 0.0 μB/cell. As for the crystal system: orthorhombic. The calculation puts the density of states at the Fermi level at 52.2 states/eV per cell. The raw total energy comes out at -4.729 eV per atom.

It has space group Cmc2_1 (No. 36), with a = 5.661 Å, b = 21.444 Å, c = 9.653 Å, α = 90.00°, β = 90.00° and γ = 90.00°. Symmetry generates all atoms from Tb at (0.000, 0.115, 0.000), Tb at (0.000, 0.131, 0.383), Ho at (0.000, 0.014, 0.690), Ho at (0.000, 0.270, 0.001), Ho at (0.000, 0.305, 0.392), Ho at (0.000, 0.397, 0.715), Ho at (0.000, 0.470, 0.416), Tm at (0.000, 0.191, 0.691) and Th at (0.000, 0.404, 0.098).

The following is a DFT calculation (PBE) of a relaxed Pr3DyY crystal.

The spin magnetization is 0.0 μB/cell. As for the crystal system: monoclinic. The calculation puts the density of states at the Fermi level at 63.5 states/eV per cell. As for the energy above the lowest structure with this stoichiometry: 0 meV per atom.

It has space group C2/c (No. 15), with a = 20.965 Å, b = 17.826 Å, c = 3.720 Å, α = 90.00°, β = 90.34° and γ = 90.00°. Symmetry generates all atoms from Pr at (0.079, 0.085, 0.235), Pr at (0.134, 0.412, 0.751), Pr at (0.166, 0.248, 0.248), Dy at (0.000, 0.247, 0.750), Dy at (0.000, 0.419, 0.250) and Y at (0.222, 0.085, 0.742).

The following is a DFT calculation (PBE) of a relaxed K4Na5Cd crystal.

The spin magnetization is 0.0 μB/cell. As for the crystal system: tetragonal. The calculation puts the density of states at the Fermi level at 12.6 states/eV per cell. The raw total energy comes out at -1.187 eV per atom.

It has space group I4 (No. 79), with a = 12.208 Å, b = 12.208 Å, c = 6.506 Å, α = 90.00°, β = 90.00° and γ = 90.00°. Symmetry generates all atoms from K at (0.000, 0.296, 0.000), Na at (0.000, 0.000, 0.765), Na at (0.171, 0.828, 0.474) and Cd at (0.000, 0.000, 0.253).